Material: ScBeGe3
Method: DFT, GGA-PBEsol
State: optimized geometry

Cell: 4.4533 4.4533 4.4533 Å, 90.00 90.00 90.00°
Last column: nearest neighbours and their distance in Å.
Atoms (fractional coordinates):
Be 0.0000 0.0000 0.0000  6 Ge 2.23
Sc 0.5000 0.5000 0.5000  12 Ge 3.15
Ge 0.0000 0.5000 0.0000  2 Be 2.23
Ge 0.0000 0.0000 0.5000  2 Be 2.23
Ge 0.5000 0.0000 0.0000  2 Be 2.23

Calculated values
energy relative to the elements = 0.175 eV per atom
mass density = 5.11 Mg/m³
VASP energy = -4.910 eV per atom

=====

Material: BeGeSe3
Method: DFT, GGA-PBEsol
State: optimized geometry

Cell: 4.8831 4.8831 4.8831 Å, 90.00 90.00 90.00°
Last column: nearest neighbours and their distance in Å.
Atoms (fractional coordinates):
Se 0.5000 0.0000 0.0000  2 Ge 2.44
Se 0.0000 0.0000 0.5000  2 Ge 2.44
Se 0.0000 0.5000 0.0000  2 Ge 2.44
Be 0.5000 0.5000 0.5000  12 Se 3.45
Ge 0.0000 0.0000 0.0000  6 Se 2.44

Calculated values
formation energy (no corrections) = 77 kJ/mol of atoms
mass density = 4.54 Mg/m³
VASP energy = -3.302 eV per atom

=====

Material: BeSi2Ge
Method: DFT, GGA-PBEsol
State: optimized geometry

Cell: 4.6988 4.6988 7.1622 Å, 109.15 109.15 90.00°
Last column: nearest neighbours and their distance in Å.
Atoms (fractional coordinates):
Si 0.4322 0.8750 0.2500  2 Be 2.17
Si 0.1250 0.1822 0.7500  2 Be 2.17
Si 0.6250 0.5678 0.7500  2 Be 2.17
Si 0.8178 0.3750 0.2500  2 Be 2.17
Be 0.5000 0.5000 0.0000  4 Si 2.17
Be 0.7500 0.2500 0.5000  4 Si 2.17
Ge 0.2500 0.7500 0.5000  4 Si 2.45
Ge 0.0000 0.0000 0.0000  4 Si 2.45

Calculated values
formation energy (no corrections) = 38 kJ/mol of atoms
mass density = 3.27 Mg/m³
VASP energy = -4.712 eV per atom

=====

Material: Be2SnGeTe
Method: DFT, GGA-PBEsol
State: optimized geometry

Cell: 4.3375 4.3375 5.8023 Å, 90.00 90.00 90.00°
Last column: nearest neighbours and their distance in Å.
Atoms (fractional coordinates):
Ge 0.0000 0.0000 0.0000  4 Be 2.17
Te 0.0000 0.0000 0.5000  2 Ge 2.90, 4 Sn 3.07
Be 0.0000 0.5000 0.0000  2 Ge 2.17
Be 0.5000 0.0000 0.0000  2 Ge 2.17
Sn 0.5000 0.5000 0.5000  4 Te 3.07

Calculated values
formation energy (no corrections) = 58 kJ/mol of atoms
mass density = 5.13 Mg/m³
VASP energy = -3.546 eV per atom

=====

Material: SrBe2Ge2
Method: DFT, GGA-PBEsol
State: optimized geometry

Cell: 4.0958 4.0958 5.7583 Å, 110.83 110.83 90.00°
Last column: nearest neighbours and their distance in Å.
Atoms (fractional coordinates):
Be 0.2500 0.7500 0.5000  4 Ge 2.37
Be 0.7500 0.2500 0.5000  4 Ge 2.37
Ge 0.6304 0.6304 0.2608  4 Be 2.37, 1 Ge 2.60
Ge 0.3696 0.3696 0.7392  4 Be 2.37, 1 Ge 2.60
Sr 0.0000 0.0000 0.0000  8 Ge 3.17, 8 Be 3.22

Calculated values
energy relative to the elements = -0.275 eV per atom
mass density = 4.99 Mg/m³
VASP energy = -4.218 eV per atom

=====

Material: Sr2BeGeTe
Method: DFT, GGA-PBEsol
State: optimized geometry

Cell: 4.1534 5.9765 5.9765 Å, 90.00 90.00 90.00°
Last column: nearest neighbours and their distance in Å.
Atoms (fractional coordinates):
Sr 0.0000 0.0000 0.5000  2 Ge 2.99
Sr 0.0000 0.5000 0.0000  2 Ge 2.99
Be 0.5000 0.0000 0.0000  2 Ge 2.08
Ge 0.0000 0.0000 0.0000  2 Be 2.08
Te 0.5000 0.5000 0.5000  8 Sr 3.64

Calculated values
formation energy (no corrections) = -57 kJ/mol of atoms
mass density = 4.30 Mg/m³
VASP energy = -3.824 eV per atom

=====

Material: BeTc3Ge
Method: DFT, GGA-PBEsol
State: optimized geometry

Cell: 4.0869 4.0869 4.0869 Å, 90.00 90.00 90.00°
Last column: nearest neighbours and their distance in Å.
Atoms (fractional coordinates):
Tc 0.0000 0.5000 0.0000  2 Be 2.04
Tc 0.0000 0.0000 0.5000  2 Be 2.04
Tc 0.5000 0.0000 0.0000  2 Be 2.04
Be 0.0000 0.0000 0.0000  6 Tc 2.04
Ge 0.5000 0.5000 0.5000  12 Tc 2.89

Calculated values
energy relative to the elements = 0.713 eV per atom
mass density = 9.14 Mg/m³
VASP energy = -7.834 eV per atom

=====

Material: Be2TcGe
Method: DFT, GGA-PBEsol
State: optimized geometry

Cell: 4.8672 5.1021 5.1021 Å, 76.85 61.51 61.51°
Last column: nearest neighbours and their distance in Å.
Atoms (fractional coordinates):
Tc 0.7500 0.5000 0.5000  4 Be 2.36, 2 Ge 2.43
Tc 0.0000 0.0000 0.0000  4 Be 2.36, 2 Ge 2.43
Be 0.8750 0.9924 0.5076  2 Ge 2.29, 2 Tc 2.36, 2 Be 2.44
Be 0.6174 0.5076 0.0076  2 Ge 2.29, 2 Tc 2.36, 2 Be 2.44
Be 0.1326 0.4924 0.9924  2 Ge 2.29, 2 Tc 2.36, 2 Be 2.44
Be 0.3750 0.0076 0.4924  2 Ge 2.29, 2 Tc 2.36, 2 Be 2.44
Ge 0.5000 0.0000 0.0000  4 Be 2.29, 2 Tc 2.43
Ge 0.2500 0.5000 0.5000  4 Be 2.29, 2 Tc 2.43

Calculated values
energy relative to the elements = 0.464 eV per atom
mass density = 6.40 Mg/m³
VASP energy = -5.588 eV per atom

=====

Material: Be2GeTe
Method: DFT, GGA-PBEsol
State: optimized geometry

Cell: 4.4803 4.4803 4.4803 Å, 60.00 60.00 60.00°
Last column: nearest neighbours and their distance in Å.
Atoms (fractional coordinates):
Be 0.7500 0.7500 0.7500  4 Ge 2.74, 4 Te 2.74
Be 0.2500 0.2500 0.2500  4 Ge 2.74, 4 Te 2.74
Te 0.5000 0.5000 0.5000  8 Be 2.74
Ge 0.0000 0.0000 0.0000  8 Be 2.74

Calculated values
formation energy (no corrections) = 66 kJ/mol of atoms
mass density = 5.70 Mg/m³
VASP energy = -3.427 eV per atom

=====

Material: TiBe3Ge
Method: DFT, GGA-PBEsol
State: optimized geometry

Cell: 4.1180 4.1180 4.1180 Å, 90.00 90.00 90.00°
Last column: nearest neighbours and their distance in Å.
Atoms (fractional coordinates):
Ti 0.5000 0.5000 0.5000  12 Be 2.91
Be 0.0000 0.0000 0.5000  2 Ge 2.06
Be 0.0000 0.5000 0.0000  2 Ge 2.06
Be 0.5000 0.0000 0.0000  2 Ge 2.06
Ge 0.0000 0.0000 0.0000  6 Be 2.06

Calculated values
energy relative to the elements = 0.852 eV per atom
mass density = 3.51 Mg/m³
VASP energy = -4.201 eV per atom

=====

Material: Be3GeW
Method: DFT, GGA-PBEsol
State: optimized geometry

Cell: 4.3471 4.3471 4.3471 Å, 90.00 90.00 90.00°
Last column: nearest neighbours and their distance in Å.
Atoms (fractional coordinates):
Be 0.0000 0.0000 0.5000  2 W 2.17
Be 0.0000 0.5000 0.0000  2 W 2.17
Be 0.5000 0.0000 0.0000  2 W 2.17
W 0.0000 0.0000 0.0000  6 Be 2.17
Ge 0.5000 0.5000 0.5000  12 Be 3.07

Calculated values
energy relative to the elements = 1.513 eV per atom
mass density = 5.73 Mg/m³
VASP energy = -4.636 eV per atom

=====

Material: BeZnGe3
Method: DFT, GGA-PBEsol
State: optimized geometry

Cell: 4.4576 4.4576 4.4576 Å, 90.00 90.00 90.00°
Last column: nearest neighbours and their distance in Å.
Atoms (fractional coordinates):
Ge 0.0000 0.5000 0.0000  2 Be 2.23
Ge 0.5000 0.0000 0.0000  2 Be 2.23
Ge 0.0000 0.0000 0.5000  2 Be 2.23
Zn 0.5000 0.5000 0.5000  12 Ge 3.15
Be 0.0000 0.0000 0.0000  6 Ge 2.23

Calculated values
energy relative to the elements = 0.508 eV per atom
mass density = 5.48 Mg/m³
VASP energy = -3.572 eV per atom

=====

Material: Zr3BeGe
Method: DFT, GGA-PBEsol
State: optimized geometry

Cell: 4.9245 4.9245 4.9245 Å, 90.00 90.00 90.00°
Last column: nearest neighbours and their distance in Å.
Atoms (fractional coordinates):
Zr 0.0000 0.0000 0.5000  2 Ge 2.46
Zr 0.5000 0.0000 0.0000  2 Ge 2.46
Zr 0.0000 0.5000 0.0000  2 Ge 2.46
Be 0.5000 0.5000 0.5000  12 Zr 3.48
Ge 0.0000 0.0000 0.0000  6 Zr 2.46

Calculated values
energy relative to the elements = 0.582 eV per atom
mass density = 4.94 Mg/m³
VASP energy = -6.660 eV per atom

=====

Material: BeH2
Method: DFT, GGA-PBEsol
State: optimized geometry

Cell: 3.9346 6.0519 6.0519 Å, 76.36 71.03 71.03°
Last column: nearest neighbours and their distance in Å.
Atoms (fractional coordinates):
H 0.1569 0.7450 0.4350  2 Be 1.43
H 0.6632 0.2450 0.9350  2 Be 1.43
H 0.4227 0.3224 0.3224  2 Be 1.44
H 0.3368 0.0650 0.7550  2 Be 1.43
H 0.5773 0.6776 0.6776  2 Be 1.44
H 0.0675 0.1776 0.1776  2 Be 1.44
H 0.6632 0.9350 0.2450  2 Be 1.43
H 0.1569 0.4350 0.7450  2 Be 1.43
H 0.9325 0.8224 0.8224  2 Be 1.44
H 0.8431 0.5650 0.2550  2 Be 1.43
H 0.8431 0.2550 0.5650  2 Be 1.43
H 0.3368 0.7550 0.0650  2 Be 1.43
Be 0.0478 0.3320 0.3320  4 H 1.43-1.44
Be 0.9522 0.6680 0.6680  4 H 1.43-1.44
Be 0.0000 0.7500 0.2500  4 H 1.43
Be 0.0000 0.2500 0.7500  4 H 1.43
Be 0.2881 0.8320 0.8320  4 H 1.43-1.44
Be 0.7119 0.1680 0.1680  4 H 1.43-1.44

Calculated values
mass density = 0.86 Mg/m³
VASP energy = -3.565 eV per atom